This record from the Alexandria database describes a crystal of Ca3MnCoO6 relaxed with PBEsol. The functional is meta-GGA SCAN.

abc: 6.278 6.278 6.278
angles: 92.43 92.43 92.43
Element x y z (fractional)
1 Ca 0.113 0.750 0.387
2 Ca 0.250 0.613 0.887
3 Ca 0.387 0.113 0.750
4 Ca 0.613 0.887 0.250
5 Ca 0.750 0.387 0.113
6 Ca 0.887 0.250 0.613
7 Mn 0.000 0.000 0.000
8 Mn 0.500 0.500 0.500
9 Co 0.250 0.250 0.250
10 Co 0.750 0.750 0.750
11 O 0.044 0.915 0.712
12 O 0.085 0.288 0.956
13 O 0.212 0.415 0.544
14 O 0.288 0.956 0.085
15 O 0.415 0.544 0.212
16 O 0.456 0.788 0.585
17 O 0.544 0.212 0.415
18 O 0.585 0.456 0.788
19 O 0.712 0.044 0.915
20 O 0.788 0.585 0.456
21 O 0.915 0.712 0.044
22 O 0.956 0.085 0.288

Calculated values
The raw formation energy is -2.620 eV/atom. As for the volume: 123.4 Å³/f.u. Its space group is R-3c, No. 167.

This record from the Alexandria database describes a crystal of CaMnCo2Pd relaxed with PBEsol. The functional is meta-GGA SCAN.

abc: 4.228 4.228 4.568
angles: 90.00 90.00 90.00
Element x y z (fractional)
1 Ca 0.000 0.000 0.000
2 Mn 0.000 0.000 0.500
3 Co 0.000 0.500 0.000
4 Co 0.500 0.000 0.000
5 Pd 0.500 0.500 0.500

Calculated values
The total DFT energy (no corrections) is -86.606 eV for the cell shown. As for the volume: 81.7 Å³/f.u. Its space group is P4/mmm, No. 123.